Compound: TbDy4Mg
Source: the Alexandria database
Functional: PBE
Structure: optimized geometry Values from VASP.

Values from the calculation:
Mass density in g/cm³: 7.65
Uncorrected energy in eV per atom: -4.08
Energy of formation from the pure elements in meV per atom: 23
Symmetry: C2/c (15)
N(E_F) in states/eV/cell: 17.072

The structure in Quantum ESPRESSO input format:
```
&SYSTEM
  ibrav = 0, nat = 12, ntyp = 3
/
ATOMIC_SPECIES
Tb 158.93 Tb.upf
Dy 162.50 Dy.upf
Mg 24.30 Mg.upf
ATOMIC_POSITIONS crystal
Tb 0.500 0.000 0.500
Tb 0.000 0.500 0.000
Dy 0.415 0.252 0.750
Dy 0.165 0.672 0.500
Dy 0.835 0.328 0.500
Dy 0.252 0.415 0.250
Dy 0.748 0.585 0.750
Dy 0.328 0.835 0.000
Dy 0.672 0.165 0.000
Dy 0.585 0.748 0.250
Mg 0.919 0.081 0.250
Mg 0.081 0.919 0.750
CELL_PARAMETERS angstrom
6.028 0.506 0.566
2.517 5.501 0.566
1.840 1.293 11.592
```